AcPr2Nd8 PBE optimized geometry; Fermi-level density of states = 1.415 states/eV per atom; symmetry = Immm, No. 71; E_form = 0.113 eV/atom; total magnetization = 0.00 μB per formula unit
1.0
5.455 0.000 -1.656
-1.054 7.805 -3.471
-0.031 -0.433 9.707
Ac Pr Nd
1 2 8
Direct
0.500 0.000 0.000
0.200 0.700 0.401
0.800 0.300 0.599
0.643 0.847 0.287
0.357 0.560 0.713
0.158 0.158 0.316
0.000 0.296 0.000
0.842 0.842 0.684
0.643 0.440 0.287
0.357 0.153 0.713
0.000 0.704 0.000